Material: AcCoAsO
Method: DFT, PBE+U
State: optimized geometry

Summary:
The polymorph energy (0 for the lowest one) is 596 kJ/mol of formula units.

Unit cell a=4.5649 b=4.5649 c=9.2535 alpha=90.00 beta=90.00 gamma=90.01
Fractional positions:
O 0.2500 0.2500 0.5000
O 0.7500 0.7500 0.5000
As 0.7500 0.2500 0.7907
As 0.2500 0.7500 0.2093
Co 0.7500 0.2500 0.5129
Co 0.2500 0.7500 0.4871
Ac 0.2500 0.2500 0.0000
Ac 0.7500 0.7500 0.0000